Here is a relaxed CoCuW2 crystal from Alexandria via LeMat-Bulk. Energies are from PBE.

```
data_CoCuW2
_space_group_name_H-M_alt 'P 1'
_space_group_IT_number 1
_cell_length_a 4.2742
_cell_length_b 4.2742
_cell_length_c 4.2742
_cell_angle_alpha 60.00
_cell_angle_beta 60.00
_cell_angle_gamma 60.00
loop_
_space_group_symop_operation_xyz
'x,y,z'
loop_
_atom_site_label
_atom_site_fract_x
_atom_site_fract_y
_atom_site_fract_z
_atom_site_occupancy
Co1 0.0000 0.0000 0.0000 1
Cu1 0.5000 0.5000 0.5000 1
W1 0.2500 0.2500 0.2500 1
W2 0.7500 0.7500 0.7500 1
```

E_form in eV/atom: 0.48
Polymorph energy (0 for the lowest one) in eV/f.u.: 1.14


Here is a relaxed CdSi crystal from Alexandria via LeMat-Bulk. Energies are from PBE.

```
data_CdSi
_space_group_name_H-M_alt 'P 1'
_space_group_IT_number 1
_cell_length_a 10.7298
_cell_length_b 10.7298
_cell_length_c 3.6930
_cell_angle_alpha 90.00
_cell_angle_beta 90.00
_cell_angle_gamma 120.00
loop_
_space_group_symop_operation_xyz
'x,y,z'
loop_
_atom_site_label
_atom_site_fract_x
_atom_site_fract_y
_atom_site_fract_z
_atom_site_occupancy
Cd1 0.8034 0.2549 0.2500 1
Cd2 0.5485 0.8034 0.7500 1
Cd3 0.7451 0.5485 0.2500 1
Cd4 0.1966 0.7451 0.7500 1
Cd5 0.4515 0.1966 0.2500 1
Cd6 0.2549 0.4515 0.7500 1
Si1 0.5751 0.0072 0.2500 1
Si2 0.5679 0.5751 0.7500 1
Si3 0.9928 0.5679 0.2500 1
Si4 0.4249 0.9928 0.7500 1
Si5 0.4321 0.4249 0.2500 1
Si6 0.0072 0.4321 0.7500 1
```

Electronic total energy in eV/cell: -33.9


Here is a relaxed RePPb crystal from Alexandria via LeMat-Bulk. Energies are from PBE.

```
data_RePPb
_space_group_name_H-M_alt 'P 1'
_space_group_IT_number 1
_cell_length_a 4.4435
_cell_length_b 4.4435
_cell_length_c 4.4435
_cell_angle_alpha 60.00
_cell_angle_beta 60.00
_cell_angle_gamma 60.00
loop_
_space_group_symop_operation_xyz
'x,y,z'
loop_
_atom_site_label
_atom_site_fract_x
_atom_site_fract_y
_atom_site_fract_z
_atom_site_occupancy
Re1 0.2500 0.2500 0.2500 1
P1 0.0000 0.0000 0.0000 1
Pb1 0.5000 0.5000 0.5000 1
```

E_form in eV/atom: 0.93
Polymorph energy (0 for the lowest one) in eV/f.u.: 2.78


Here is a relaxed CePuMnSi2 crystal from Alexandria via LeMat-Bulk. Energies are from PBE.

```
data_CePuMnSi2
_space_group_name_H-M_alt 'P 1'
_space_group_IT_number 1
_cell_length_a 4.1235
_cell_length_b 4.1235
_cell_length_c 6.6265
_cell_angle_alpha 108.13
_cell_angle_beta 108.13
_cell_angle_gamma 90.00
loop_
_space_group_symop_operation_xyz
'x,y,z'
loop_
_atom_site_label
_atom_site_fract_x
_atom_site_fract_y
_atom_site_fract_z
_atom_site_occupancy
Ce1 0.0000 0.0000 0.0000 1
Pu1 0.7500 0.2500 0.5000 1
Mn1 0.2500 0.7500 0.5000 1
Si1 0.5975 0.5975 0.1950 1
Si2 0.4025 0.4025 0.8050 1
```

Electronic total energy in eV/cell: -41.9


- Number 2 is which compound?
  CdSi